Material: La8Sm2Zn
Method: DFT, PBE
State: optimized geometry

```
La8Sm2Zn
1.0
5.586 0.000 -1.603
-0.108 6.600 -0.376
-0.048 -0.049 10.362
La Sm Zn
8 2 1
Direct
0.038 0.250 0.076
0.344 0.877 0.689
0.845 0.202 0.689
0.155 0.798 0.311
0.580 0.610 0.159
0.420 0.390 0.841
0.656 0.123 0.311
0.962 0.750 0.924
0.763 0.668 0.526
0.237 0.332 0.474
0.500 0.000 0.000
```

Summary:
Total DFT energy (no corrections), eV per atom: -4.579
M_tot, Bohr magnetons per cell: 0.000